DFT (PBE) results for Ba2Na16Sr after structural relaxation.

Summary:
For the energy relative to the elements, the calculation gives 0.0198 eV/atom. The value obtained for the total magnetic moment is 0.000 μB/f.u. The total energy comes out at -26.26 eV per formula unit.

Structure (CIF):
```
data_Ba2Na16Sr
_chemical_formula_sum 'Ba2 Na16 Sr1'
_cell_length_a 9.295
_cell_length_b 9.295
_cell_length_c 9.295
_cell_angle_alpha 82.82
_cell_angle_beta 82.82
_cell_angle_gamma 82.82
_space_group_name_H-M_alt 'P 1'
_space_group_IT_number 1
loop_
_space_group_symop_operation_xyz
'x,y,z'
loop_
_atom_site_label
_atom_site_type_symbol
_atom_site_fract_x
_atom_site_fract_y
_atom_site_fract_z
Ba1 Ba 0.653 0.653 0.653
Ba2 Ba 0.346 0.346 0.346
Na1 Na 0.697 0.000 0.301
Na2 Na 0.000 0.301 0.697
Na3 Na 0.301 0.697 0.000
Na4 Na 0.000 0.697 0.301
Na5 Na 0.697 0.301 0.000
Na6 Na 0.301 0.000 0.697
Na7 Na 0.352 0.843 0.352
Na8 Na 0.843 0.352 0.352
Na9 Na 0.352 0.352 0.843
Na10 Na 0.646 0.157 0.646
Na11 Na 0.157 0.646 0.646
Na12 Na 0.646 0.646 0.157
Na13 Na 0.003 0.488 0.003
Na14 Na 0.488 0.003 0.003
Na15 Na 0.003 0.003 0.488
Na16 Na 0.111 0.111 0.111
Sr1 Sr 0.903 0.903 0.903
```

DFT (PBE) results for La2Pm2Y15 after structural relaxation.

Summary:
For the energy relative to the elements, the calculation gives 0.2802 eV/atom. The value obtained for the total magnetic moment is 0.011 μB/f.u. The total energy comes out at -110.99 eV per formula unit.

Structure (CIF):
```
data_La2Pm2Y15
_chemical_formula_sum 'La2 Pm2 Y15'
_cell_length_a 8.823
_cell_length_b 8.823
_cell_length_c 8.823
_cell_angle_alpha 80.17
_cell_angle_beta 80.17
_cell_angle_gamma 80.17
_space_group_name_H-M_alt 'P 1'
_space_group_IT_number 1
loop_
_space_group_symop_operation_xyz
'x,y,z'
loop_
_atom_site_label
_atom_site_type_symbol
_atom_site_fract_x
_atom_site_fract_y
_atom_site_fract_z
La1 La 0.883 0.883 0.883
La2 La 0.117 0.117 0.117
Pm1 Pm 0.669 0.669 0.669
Pm2 Pm 0.331 0.331 0.331
Y1 Y 0.500 0.000 0.000
Y2 Y 0.000 0.000 0.500
Y3 Y 0.000 0.500 0.000
Y4 Y 0.000 0.303 0.697
Y5 Y 0.303 0.697 0.000
Y6 Y 0.697 0.000 0.303
Y7 Y 0.697 0.303 0.000
Y8 Y 0.303 0.000 0.697
Y9 Y 0.000 0.697 0.303
Y10 Y 0.846 0.369 0.369
Y11 Y 0.369 0.369 0.846
Y12 Y 0.369 0.846 0.369
Y13 Y 0.154 0.631 0.631
Y14 Y 0.631 0.631 0.154
Y15 Y 0.631 0.154 0.631
```

DFT (PBE) results for AcPmBiS after structural relaxation.

Summary:
The value obtained for the total magnetic moment is 0.003 μB/f.u. The value obtained for the uncorrected formation energy is -1.23 eV per atom. The total energy comes out at -21.80 eV per formula unit.

Structure (CIF):
```
data_AcPmBiS
_chemical_formula_sum 'Ac2 Pm2 Bi2 S2'
_cell_length_a 5.112
_cell_length_b 5.112
_cell_length_c 10.453
_cell_angle_alpha 90.00
_cell_angle_beta 90.00
_cell_angle_gamma 90.00
_space_group_name_H-M_alt 'P 1'
_space_group_IT_number 1
loop_
_space_group_symop_operation_xyz
'x,y,z'
loop_
_atom_site_label
_atom_site_type_symbol
_atom_site_fract_x
_atom_site_fract_y
_atom_site_fract_z
Ac1 Ac 0.000 0.500 0.861
Ac2 Ac 0.500 0.000 0.139
Pm1 Pm 0.000 0.000 0.500
Pm2 Pm 0.500 0.500 0.500
Bi1 Bi 0.500 0.000 0.690
Bi2 Bi 0.000 0.500 0.310
S1 S 0.500 0.500 0.000
S2 S 0.000 0.000 0.000
```

DFT (PBE) results for TcSn3H after structural relaxation.

Summary:
The value obtained for the total magnetic moment is 2.177 μB/f.u. The total energy comes out at -22.43 eV per formula unit. The calculation puts the energy above the most stable polymorph in this dataset at 266 meV per atom.

Structure (CIF):
```
data_TcSn3H
_chemical_formula_sum 'Tc1 Sn3 H1'
_cell_length_a 4.555
_cell_length_b 4.555
_cell_length_c 4.555
_cell_angle_alpha 90.00
_cell_angle_beta 90.00
_cell_angle_gamma 90.00
_space_group_name_H-M_alt 'P 1'
_space_group_IT_number 1
loop_
_space_group_symop_operation_xyz
'x,y,z'
loop_
_atom_site_label
_atom_site_type_symbol
_atom_site_fract_x
_atom_site_fract_y
_atom_site_fract_z
H1 H 0.000 0.000 0.000
Sn1 Sn 0.000 0.500 0.000
Sn2 Sn 0.000 0.000 0.500
Sn3 Sn 0.500 0.000 0.000
Tc1 Tc 0.500 0.500 0.500
```

DFT (PBE) results for Zr2HO after structural relaxation.

Summary:
The value obtained for the total magnetic moment is 0.000 μB/f.u. The total energy comes out at -30.63 eV per formula unit. The calculation puts the energy above the most stable polymorph in this dataset at 123 meV per atom.

Structure (CIF):
```
data_Zr2HO
_chemical_formula_sum 'Zr4 H2 O2'
_cell_length_a 4.930
_cell_length_b 4.930
_cell_length_c 5.989
_cell_angle_alpha 65.70
_cell_angle_beta 65.70
_cell_angle_gamma 90.00
_space_group_name_H-M_alt 'P 1'
_space_group_IT_number 1
loop_
_space_group_symop_operation_xyz
'x,y,z'
loop_
_atom_site_label
_atom_site_type_symbol
_atom_site_fract_x
_atom_site_fract_y
_atom_site_fract_z
H1 H 0.500 0.500 0.000
H2 H 0.250 0.750 0.500
O1 O 0.000 0.000 0.000
O2 O 0.750 0.250 0.500
Zr1 Zr 0.624 0.125 0.250
Zr2 Zr 0.126 0.625 0.250
Zr3 Zr 0.375 0.376 0.750
Zr4 Zr 0.875 0.874 0.750
```

DFT (PBE) results for K2BaZr after structural relaxation.

Summary:
For the energy relative to the elements, the calculation gives 0.7492 eV/atom. The value obtained for the total magnetic moment is 2.572 μB/f.u. The total energy comes out at -9.67 eV per formula unit. The calculation puts the energy above the most stable polymorph in this dataset at 167 meV per atom.

Structure (CIF):
```
data_K2BaZr
_chemical_formula_sum 'K2 Ba1 Zr1'
_cell_length_a 6.659
_cell_length_b 6.659
_cell_length_c 8.040
_cell_angle_alpha 85.41
_cell_angle_beta 85.41
_cell_angle_gamma 31.96
_space_group_name_H-M_alt 'P 1'
_space_group_IT_number 1
loop_
_space_group_symop_operation_xyz
'x,y,z'
loop_
_atom_site_label
_atom_site_type_symbol
_atom_site_fract_x
_atom_site_fract_y
_atom_site_fract_z
Ba1 Ba 0.760 0.760 0.701
K1 K 0.999 0.999 0.006
K2 K 0.243 0.243 0.258
Zr1 Zr 0.497 0.497 0.535
```

DFT (PBE) results for Mg3CoNi after structural relaxation.

Summary:
For the energy relative to the elements, the calculation gives 0.5844 eV/atom. The value obtained for the total magnetic moment is 1.573 μB/f.u. The total energy comes out at -14.75 eV per formula unit. The calculation puts the energy above the most stable polymorph in this dataset at 0 meV per atom.

Structure (CIF):
```
data_Mg3CoNi
_chemical_formula_sum 'Mg3 Co1 Ni1'
_cell_length_a 4.680
_cell_length_b 4.680
_cell_length_c 4.680
_cell_angle_alpha 90.00
_cell_angle_beta 90.00
_cell_angle_gamma 90.00
_space_group_name_H-M_alt 'P 1'
_space_group_IT_number 1
loop_
_space_group_symop_operation_xyz
'x,y,z'
loop_
_atom_site_label
_atom_site_type_symbol
_atom_site_fract_x
_atom_site_fract_y
_atom_site_fract_z
Ni1 Ni 0.000 0.000 0.000
Mg1 Mg 0.000 0.500 0.000
Mg2 Mg 0.000 0.000 0.500
Mg3 Mg 0.500 0.000 0.000
Co1 Co 0.500 0.500 0.500
```

DFT (PBE) results for Tl2GeI4 after structural relaxation.

Summary:
The value obtained for the total magnetic moment is 0.000 μB/f.u. The value obtained for the uncorrected formation energy is -0.46 eV per atom. The total energy comes out at -18.75 eV per formula unit. The calculation puts the energy above the most stable polymorph in this dataset at 26 meV per atom.

Structure (CIF):
```
data_Tl2GeI4
_chemical_formula_sum 'Tl2 Ge1 I4'
_cell_length_a 5.879
_cell_length_b 5.879
_cell_length_c 9.666
_cell_angle_alpha 72.30
_cell_angle_beta 72.30
_cell_angle_gamma 90.00
_space_group_name_H-M_alt 'P 1'
_space_group_IT_number 1
loop_
_space_group_symop_operation_xyz
'x,y,z'
loop_
_atom_site_label
_atom_site_type_symbol
_atom_site_fract_x
_atom_site_fract_y
_atom_site_fract_z
I1 I 0.172 0.172 0.657
I2 I 0.828 0.828 0.343
I3 I 0.000 0.500 0.000
I4 I 0.500 0.000 0.000
Tl1 Tl 0.364 0.364 0.273
Tl2 Tl 0.636 0.636 0.727
Ge1 Ge 0.000 0.000 0.000
```

What is the total magnetic moment in the sixth record? 2.572 μB/f.u.

Number 5 is which compound? Zr2HO

What is the total magnetic moment in the fifth record? 0.000 μB/f.u.